Entry 1:
# PBE CrIn2AuC, optimized geometry
data_CrIn2AuC
_symmetry_space_group_name_H-M 'P 4/m m m'
_symmetry_Int_Tables_number 123
_symmetry_space_group_name_Hall '-P 4 2'
_cell_length_a 5.2898
_cell_length_b 5.2898
_cell_length_c 3.7383
_cell_angle_alpha 90.00
_cell_angle_beta 90.00
_cell_angle_gamma 90.00
loop_
_atom_site_label
_atom_site_type_symbol
_atom_site_fract_x
_atom_site_fract_y
_atom_site_fract_z
_atom_site_occupancy
Cr1 Cr 0.0000 0.0000 0.0000 1
In1 In 0.0000 0.5000 0.0000 1
Au1 Au 0.5000 0.5000 0.5000 1
C1 C 0.0000 0.0000 0.5000 1
# Magnetic moment = 2.2 μB/f.u.
# Calculated total energy = -4.764 eV/atom
# Volume = 20.921 A^3/atom
# Crystal system = tetragonal



Entry 2:
# PBE K2ErB2S6, optimized geometry
data_K2ErB2S6
_symmetry_space_group_name_H-M 'C 1 2/m 1'
_symmetry_Int_Tables_number 12
_cell_length_a 11.5321
_cell_length_b 6.5712
_cell_length_c 8.2705
_cell_angle_alpha 90.00
_cell_angle_beta 118.46
_cell_angle_gamma 90.00
loop_
_symmetry_equiv_pos_as_xyz
'x,y,z'
'-x,-y,-z'
'-x,y,-z'
'x,-y,z'
'x+1/2,y+1/2,z'
'-x+1/2,-y+1/2,-z'
'-x+1/2,y+1/2,-z'
'x+1/2,-y+1/2,z'
loop_
_atom_site_label
_atom_site_type_symbol
_atom_site_fract_x
_atom_site_fract_y
_atom_site_fract_z
_atom_site_occupancy
K1 K 0.2024 0.0000 0.1869 1
Er1 Er 0.0000 0.0000 0.5000 1
B1 B 0.0644 0.5000 0.2807 1
S1 S 0.0308 0.2658 0.7697 1
S2 S 0.2375 0.5000 0.3497 1
# Magnetic moment = 0.0 μB/f.u.
# Calculated total energy = -5.043 eV/atom
# Volume = 25.046 A^3/atom
# Crystal system = monoclinic



Entry 3:
# PBE CaTaTeN2, optimized geometry
data_CaTaTeN2
_symmetry_space_group_name_H-M 'P 4/m m m'
_symmetry_Int_Tables_number 123
_symmetry_space_group_name_Hall '-P 4 2'
_cell_length_a 4.3470
_cell_length_b 4.3470
_cell_length_c 5.8985
_cell_angle_alpha 90.00
_cell_angle_beta 90.00
_cell_angle_gamma 90.00
loop_
_atom_site_label
_atom_site_type_symbol
_atom_site_fract_x
_atom_site_fract_y
_atom_site_fract_z
_atom_site_occupancy
Ca1 Ca 0.0000 0.0000 0.0000 1
Ta1 Ta 0.5000 0.5000 0.5000 1
Te1 Te 0.0000 0.0000 0.5000 1
N1 N 0.0000 0.5000 0.0000 1
# Magnetic moment = 1.0 μB/f.u.
# Calculated total energy = -5.031 eV/atom
# Volume = 22.292 A^3/atom
# Crystal system = tetragonal



Entry 4:
# PBE Na4TlIn15, optimized geometry
data_Na4TlIn15
_symmetry_space_group_name_H-M 'P 4/m m m'
_symmetry_Int_Tables_number 123
_symmetry_space_group_name_Hall '-P 4 2'
_cell_length_a 4.6983
_cell_length_b 4.6983
_cell_length_c 24.0298
_cell_angle_alpha 90.00
_cell_angle_beta 90.00
_cell_angle_gamma 90.00
loop_
_atom_site_label
_atom_site_type_symbol
_atom_site_fract_x
_atom_site_fract_y
_atom_site_fract_z
_atom_site_occupancy
Na1 Na 0.0000 0.0000 0.0981 1
Na2 Na 0.0000 0.0000 0.2936 1
Tl1 Tl 0.0000 0.0000 0.5000 1
In1 In 0.0000 0.5000 0.0000 1
In2 In 0.0000 0.5000 0.1960 1
In3 In 0.0000 0.5000 0.3926 1
In4 In 0.5000 0.5000 0.0987 1
In5 In 0.5000 0.5000 0.2927 1
In6 In 0.5000 0.5000 0.5000 1
# Magnetic moment = 0.0 μB/f.u.
# Calculated total energy = -2.492 eV/atom
# Volume = 26.522 A^3/atom
# Crystal system = tetragonal



Entry 5:
# PBE Cu3RhAu, optimized geometry
data_Cu3RhAu
_symmetry_space_group_name_H-M 'P m -3 m'
_symmetry_Int_Tables_number 221
_symmetry_space_group_name_Hall '-P 4 2 3'
_cell_length_a 4.6533
_cell_length_b 4.6533
_cell_length_c 4.6533
_cell_angle_alpha 90.00
_cell_angle_beta 90.00
_cell_angle_gamma 90.00
loop_
_atom_site_label
_atom_site_type_symbol
_atom_site_fract_x
_atom_site_fract_y
_atom_site_fract_z
_atom_site_occupancy
Cu1 Cu 0.0000 0.0000 0.5000 1
Rh1 Rh 0.5000 0.5000 0.5000 1
Au1 Au 0.0000 0.0000 0.0000 1
# Magnetic moment = 0.0 μB/f.u.
# Calculated total energy = -3.380 eV/atom
# Volume = 20.152 A^3/atom
# Crystal system = cubic



Entry 6:
# PBE La7SmSn4, optimized geometry
data_La7SmSn4
_symmetry_space_group_name_H-M 'C 1 2/m 1'
_symmetry_Int_Tables_number 12
_cell_length_a 14.4084
_cell_length_b 5.9814
_cell_length_c 11.4974
_cell_angle_alpha 90.00
_cell_angle_beta 125.06
_cell_angle_gamma 90.00
loop_
_symmetry_equiv_pos_as_xyz
'x,y,z'
'-x,-y,-z'
'-x,y,-z'
'x,-y,z'
'x+1/2,y+1/2,z'
'-x+1/2,-y+1/2,-z'
'-x+1/2,y+1/2,-z'
'x+1/2,-y+1/2,z'
loop_
_atom_site_label
_atom_site_type_symbol
_atom_site_fract_x
_atom_site_fract_y
_atom_site_fract_z
_atom_site_occupancy
La1 La 0.0000 0.0000 0.0000 1
La2 La 0.0552 0.5000 0.3634 1
La3 La 0.1814 0.0000 0.6045 1
La4 La 0.2065 0.5000 0.8888 1
Sm1 Sm 0.0000 0.5000 0.0000 1
Sn1 Sn 0.0655 0.0000 0.7659 1
Sn2 Sn 0.1994 0.0000 0.3282 1
# Magnetic moment = 0.0 μB/f.u.
# Calculated total energy = -4.965 eV/atom
# Volume = 33.793 A^3/atom
# Crystal system = monoclinic



Entry 7:
# PBE Tb5Sn2Te2, optimized geometry
data_Tb5Sn2Te2
_symmetry_space_group_name_H-M 'C m c e'
_symmetry_Int_Tables_number 64
_symmetry_space_group_name_Hall '-C 2ac 2'
_cell_length_a 15.4956
_cell_length_b 8.1013
_cell_length_c 8.1573
_cell_angle_alpha 90.00
_cell_angle_beta 90.00
_cell_angle_gamma 90.00
loop_
_atom_site_label
_atom_site_type_symbol
_atom_site_fract_x
_atom_site_fract_y
_atom_site_fract_z
_atom_site_occupancy
Tb1 Tb 0.0000 0.0000 0.0000 1
Tb2 Tb 0.1343 0.1652 0.3363 1
Sn1 Sn 0.0000 0.1367 0.6355 1
Te1 Te 0.2019 0.0000 0.0000 1
# Magnetic moment = 0.0 μB/f.u.
# Calculated total energy = -5.154 eV/atom
# Volume = 28.445 A^3/atom
# Crystal system = orthorhombic



Entry 8:
# PBE Cs2TlInSb2, optimized geometry
data_Cs2TlInSb2
_symmetry_space_group_name_H-M 'I b a m'
_symmetry_Int_Tables_number 72
_symmetry_space_group_name_Hall '-I 2 2c'
_cell_length_a 7.7522
_cell_length_b 17.1095
_cell_length_c 7.6871
_cell_angle_alpha 90.00
_cell_angle_beta 90.00
_cell_angle_gamma 90.00
loop_
_atom_site_label
_atom_site_type_symbol
_atom_site_fract_x
_atom_site_fract_y
_atom_site_fract_z
_atom_site_occupancy
Cs1 Cs 0.2346 0.1679 0.0000 1
Tl1 Tl 0.0000 0.0000 0.2500 1
In1 In 0.0000 0.5000 0.2500 1
Sb1 Sb 0.2177 0.4075 0.0000 1
# Magnetic moment = 0.0 μB/f.u.
# Calculated total energy = -2.868 eV/atom
# Volume = 42.483 A^3/atom
# Crystal system = orthorhombic



Entry 9:
# PBE UBiTe4, optimized geometry
data_UBiTe4
_symmetry_space_group_name_H-M 'I m m a'
_symmetry_Int_Tables_number 74
_symmetry_space_group_name_Hall '-I 2b 2'
_cell_length_a 8.7846
_cell_length_b 8.8352
_cell_length_c 12.3240
_cell_angle_alpha 90.00
_cell_angle_beta 90.00
_cell_angle_gamma 90.00
loop_
_atom_site_label
_atom_site_type_symbol
_atom_site_fract_x
_atom_site_fract_y
_atom_site_fract_z
_atom_site_occupancy
U1 U 0.2500 0.2500 0.2500 1
Bi1 Bi 0.0000 0.0000 0.0000 1
Te1 Te 0.0000 0.0149 0.2570 1
Te2 Te 0.2426 0.2500 0.4906 1
# Magnetic moment = 1.0 μB/f.u.
# Calculated total energy = -5.004 eV/atom
# Volume = 39.854 A^3/atom
# Crystal system = orthorhombic



Entry 10:
# PBE Li2ZnPb, optimized geometry
data_Li2ZnPb
_symmetry_space_group_name_H-M 'I -4 2 d'
_symmetry_Int_Tables_number 122
_symmetry_space_group_name_Hall 'I -4 2bw'
_cell_length_a 7.6055
_cell_length_b 7.6055
_cell_length_c 5.8078
_cell_angle_alpha 90.00
_cell_angle_beta 90.00
_cell_angle_gamma 90.00
loop_
_atom_site_label
_atom_site_type_symbol
_atom_site_fract_x
_atom_site_fract_y
_atom_site_fract_z
_atom_site_occupancy
Li1 Li 0.2210 0.7500 0.1250 1
Zn1 Zn 0.0000 0.0000 0.0000 1
Pb1 Pb 0.0000 0.0000 0.5000 1
# Magnetic moment = 0.0 μB/f.u.
# Calculated total energy = -2.227 eV/atom
# Volume = 20.997 A^3/atom
# Crystal system = tetragonal



Entry 11:
# PBE CaPr7Ho2, optimized geometry
data_CaPr7Ho2
_symmetry_space_group_name_H-M 'C m m m'
_symmetry_Int_Tables_number 65
_symmetry_space_group_name_Hall '-C 2 2'
_cell_length_a 9.1605
_cell_length_b 16.0716
_cell_length_c 5.8888
_cell_angle_alpha 90.00
_cell_angle_beta 90.00
_cell_angle_gamma 90.00
loop_
_atom_site_label
_atom_site_type_symbol
_atom_site_fract_x
_atom_site_fract_y
_atom_site_fract_z
_atom_site_occupancy
Ca1 Ca 0.0000 0.0000 0.0000 1
Pr1 Pr 0.0000 0.2451 0.0000 1
Pr2 Pr 0.0000 0.5000 0.5000 1
Pr3 Pr 0.1825 0.1189 0.5000 1
Ho1 Ho 0.0000 0.2955 0.5000 1
# Magnetic moment = 0.0 μB/f.u.
# Calculated total energy = -3.880 eV/atom
# Volume = 43.349 A^3/atom
# Crystal system = orthorhombic



Entry 12:
# PBE Na2TiPdI, optimized geometry
data_Na2TiPdI
_symmetry_space_group_name_H-M 'P 4/m m m'
_symmetry_Int_Tables_number 123
_symmetry_space_group_name_Hall '-P 4 2'
_cell_length_a 5.5561
_cell_length_b 5.5561
_cell_length_c 4.9152
_cell_angle_alpha 90.00
_cell_angle_beta 90.00
_cell_angle_gamma 90.00
loop_
_atom_site_label
_atom_site_type_symbol
_atom_site_fract_x
_atom_site_fract_y
_atom_site_fract_z
_atom_site_occupancy
Na1 Na 0.0000 0.5000 0.0000 1
Ti1 Ti 0.0000 0.0000 0.5000 1
Pd1 Pd 0.0000 0.0000 0.0000 1
I1 I 0.5000 0.5000 0.5000 1
# Magnetic moment = 2.8 μB/f.u.
# Calculated total energy = -3.369 eV/atom
# Volume = 30.347 A^3/atom
# Crystal system = tetragonal